Density functional theory data (PBE) for AgBi2Pd after structural relaxation.

Summary:
* ρ: 10.24 g/cm³
* energy of formation from the pure elements: -0.058 eV/atom

Unit cell a=4.4084 b=4.4084 c=18.2707 alpha=90.00 beta=90.00 gamma=120.00
Space group R3m (No. 160, hexagonal axes)
Unique sites:
Ag 0.0000 0.0000 0.0000 (multiplicity 3)
Bi 0.0000 0.0000 0.5695 (multiplicity 3)
Bi 0.0000 0.0000 0.7614 (multiplicity 3)
Pd 0.0000 0.0000 0.1621 (multiplicity 3)

Density functional theory data (PBE) for AgBi3Pd7 after structural relaxation.

Summary:
* ρ: 11.74 g/cm³
* energy of formation from the pure elements: -0.169 eV/atom

Unit cell a=3.5922 b=21.4044 c=10.8868 alpha=90.00 beta=90.00 gamma=90.00
Space group Cmcm (No. 63)
Unique sites:
Ag 0.0000 0.0883 0.2500 (multiplicity 4)
Bi 0.0000 0.0820 0.5616 (multiplicity 8)
Bi 0.0000 0.2348 0.2500 (multiplicity 4)
Pd 0.0000 0.2118 0.5738 (multiplicity 8)
Pd 0.0000 0.3442 0.6012 (multiplicity 8)
Pd 0.0000 0.3677 0.2500 (multiplicity 4)
Pd 0.0000 0.4865 0.6252 (multiplicity 8)

Density functional theory data (PBE) for AgBi3Pd12 after structural relaxation.

Summary:
* ρ: 12.08 g/cm³
* energy of formation from the pure elements: -0.205 eV/atom

Unit cell a=4.1078 b=4.1078 c=16.3871 alpha=90.00 beta=90.00 gamma=90.00
Space group P4/mmm (No. 123)
Unique sites:
Ag 0.0000 0.0000 0.0000 (multiplicity 1)
Bi 0.0000 0.0000 0.2373 (multiplicity 2)
Bi 0.0000 0.0000 0.5000 (multiplicity 1)
Pd 0.0000 0.5000 0.1199 (multiplicity 4)
Pd 0.0000 0.5000 0.3740 (multiplicity 4)
Pd 0.5000 0.5000 0.0000 (multiplicity 1)
Pd 0.5000 0.5000 0.2524 (multiplicity 2)
Pd 0.5000 0.5000 0.5000 (multiplicity 1)

Density functional theory data (PBE) for Ag2BiPd5 after structural relaxation.

Summary:
* ρ: 11.63 g/cm³
* energy of formation from the pure elements: -0.159 eV/atom
* energy above the lowest structure with this stoichiometry: 0 meV per atom

Unit cell a=4.1703 b=4.1703 c=15.7164 alpha=90.00 beta=90.00 gamma=90.00
Space group I4/mmm (No. 139)
Unique sites:
Ag 0.0000 0.0000 0.2490 (multiplicity 4)
Bi 0.0000 0.0000 0.5000 (multiplicity 2)
Pd 0.0000 0.0000 0.0000 (multiplicity 2)
Pd 0.0000 0.5000 0.1256 (multiplicity 8)

Density functional theory data (PBE) for AgBi2Pd after structural relaxation.

Summary:
* ρ: 10.41 g/cm³
* energy of formation from the pure elements: 0.245 eV/atom

Unit cell a=3.3671 b=3.3671 c=30.8157 alpha=90.00 beta=90.00 gamma=120.00
Space group R-3m (No. 166, hexagonal axes)
Unique sites:
Ag 0.0000 0.0000 0.0000 (multiplicity 3)
Bi 0.0000 0.0000 0.4126 (multiplicity 6)
Pd 0.0000 0.0000 0.5000 (multiplicity 3)

Density functional theory data (PBE) for Ag8BiPd6 after structural relaxation.

Summary:
* ρ: 9.69 g/cm³
* energy of formation from the pure elements: 0.065 eV/atom

Unit cell a=7.8114 b=7.8114 c=16.6399 alpha=90.00 beta=90.00 gamma=120.00
Space group R-3 (No. 148, hexagonal axes)
Unique sites:
Ag 0.0000 0.0000 0.1799 (multiplicity 6)
Ag 0.0093 0.6860 0.7116 (multiplicity 18)
Bi 0.0000 0.0000 0.5000 (multiplicity 3)
Pd 0.0018 0.3447 0.7864 (multiplicity 18)

Density functional theory data (PBE) for AgBi2Pd4 after structural relaxation.

Summary:
* ρ: 9.37 g/cm³
* energy of formation from the pure elements: 0.372 eV/atom
* energy above the lowest structure with this stoichiometry: 505 meV per atom

Unit cell a=4.9479 b=4.9479 c=13.7763 alpha=90.00 beta=90.00 gamma=90.00
Space group I4/mmm (No. 139)
Unique sites:
Ag 0.0000 0.0000 0.0000 (multiplicity 2)
Bi 0.0000 0.0000 0.3820 (multiplicity 4)
Pd 0.0000 0.0000 0.1924 (multiplicity 4)
Pd 0.0000 0.5000 0.0000 (multiplicity 4)

Density functional theory data (PBE) for AgBi2Pd after structural relaxation.

Summary:
* ρ: 10.95 g/cm³
* energy of formation from the pure elements: -0.092 eV/atom

Unit cell a=3.6226 b=8.5223 c=6.2097 alpha=90.00 beta=90.50 gamma=90.00
Space group P2_1/m (No. 11)
Unique sites:
Ag 0.2441 0.2500 0.1586 (multiplicity 2)
Bi 0.2524 0.0438 0.7439 (multiplicity 4)
Pd 0.2505 0.7500 0.4852 (multiplicity 2)

Density functional theory data (PBE) for AgBi3Pd after structural relaxation.

Summary:
* ρ: 8.88 g/cm³
* energy of formation from the pure elements: 0.383 eV/atom
* energy above the lowest structure with this stoichiometry: 415 meV per atom

Unit cell a=5.3979 b=5.3979 c=5.3979 alpha=90.00 beta=90.00 gamma=90.00
Space group Pm-3m (No. 221)
Unique sites:
Ag 0.0000 0.0000 0.0000 (multiplicity 1)
Bi 0.0000 0.5000 0.5000 (multiplicity 3)
Pd 0.5000 0.5000 0.5000 (multiplicity 1)

Density functional theory data (PBE) for AgBiPd6 after structural relaxation.

Summary:
* ρ: 11.81 g/cm³
* energy of formation from the pure elements: -0.151 eV/atom
* energy above the lowest structure with this stoichiometry: 0 meV per atom

Unit cell a=5.7284 b=5.7284 c=4.0927 alpha=90.00 beta=90.00 gamma=90.00
Space group P4/mmm (No. 123)
Unique sites:
Ag 0.0000 0.0000 0.0000 (multiplicity 1)
Bi 0.5000 0.5000 0.0000 (multiplicity 1)
Pd 0.0000 0.5000 0.0000 (multiplicity 2)
Pd 0.2468 0.2468 0.5000 (multiplicity 4)

> Which formula does entry 4 have?

Ag2BiPd5